TiSnB3 | PBE | relaxed

E_tot, eV/atom: -4.2593
N(E_F), states/eV per cell: 5.34

abc: 4.371 4.371 4.371
angles: 90.00 90.00 90.00
Space group Pm-3m (No. 221)
Unique sites:
Ti  0.000  0.000  0.000 (multiplicity 1)
Sn  0.500  0.500  0.500 (multiplicity 1)
B  0.000  0.500  0.500 (multiplicity 3)

---

Ti2VSnB | PBE | relaxed

E_tot, eV/atom: -7.4721
N(E_F), states/eV per cell: 3.84

abc: 4.326 4.326 4.128
angles: 90.00 90.00 90.00
Space group P4/mmm (No. 123)
Unique sites:
Ti  0.000  0.500  0.000 (multiplicity 2)
V  0.000  0.000  0.500 (multiplicity 1)
Sn  0.500  0.500  0.500 (multiplicity 1)
B  0.000  0.000  0.000 (multiplicity 1)

---

Tl2SnB | PBE | relaxed

E_tot, eV/atom: -3.0495
N(E_F), states/eV per cell: 6.61

abc: 6.669 6.669 9.944
angles: 90.00 90.00 90.00
Space group I-42d (No. 122)
Unique sites:
Tl  0.144  0.250  0.125 (multiplicity 8)
Sn  0.000  0.000  0.500 (multiplicity 4)
B  0.000  0.000  0.000 (multiplicity 4)

---

TlSn2B | PBE | relaxed

E_tot, eV/atom: -3.2841
N(E_F), states/eV per cell: 8.22

abc: 7.210 7.210 7.210
angles: 90.00 90.00 90.00
Space group Fm-3m (No. 225)
Unique sites:
Tl  0.000  0.000  0.000 (multiplicity 4)
Sn  0.250  0.250  0.250 (multiplicity 8)
B  0.000  0.000  0.500 (multiplicity 4)

---

Tl2SnB | PBE | relaxed

E_tot, eV/atom: -2.8396
N(E_F), states/eV per cell: 8.51

abc: 7.367 7.367 7.367
angles: 90.00 90.00 90.00
Space group Fm-3m (No. 225)
Unique sites:
Tl  0.250  0.250  0.250 (multiplicity 8)
Sn  0.000  0.000  0.000 (multiplicity 4)
B  0.000  0.000  0.500 (multiplicity 4)

---

TlSn2B | PBE | relaxed

E_tot, eV/atom: -3.7695
N(E_F), states/eV per cell: 2.30

abc: 6.336 6.336 10.670
angles: 90.00 90.00 90.00
Space group I-42d (No. 122)
Unique sites:
Tl  0.000  0.000  0.000 (multiplicity 4)
Sn  0.155  0.250  0.625 (multiplicity 8)
B  0.000  0.000  0.500 (multiplicity 4)